A geometry-optimized MnIr3Rh12 structure, computed with PBE.

Lattice parameters (Å, degrees): 3.8422 3.8422 15.3591 90.00 90.00 90.00
Last column: nearest neighbours and their distance in Å.
Element x y z (fractional)
Mn (0.0000, 0.0000, 0.0000)  12 Rh 2.71-2.72
Ir (0.0000, 0.0000, 0.2497)  12 Rh 2.71-2.72
Ir (0.0000, 0.0000, 0.5000)  12 Rh 2.72
Ir (0.0000, 0.0000, 0.7503)  12 Rh 2.71-2.72
Rh (0.0000, 0.5000, 0.1246)  8 Rh 2.71-2.72, 2 Mn 2.71, 2 Ir 2.72
Rh (0.0000, 0.5000, 0.3744)  4 Ir 2.71-2.72, 8 Rh 2.72
Rh (0.0000, 0.5000, 0.6256)  4 Ir 2.71-2.72, 8 Rh 2.72
Rh (0.0000, 0.5000, 0.8754)  2 Mn 2.71, 8 Rh 2.71-2.72, 2 Ir 2.72
Rh (0.5000, 0.0000, 0.1246)  8 Rh 2.71-2.72, 2 Mn 2.71, 2 Ir 2.72
Rh (0.5000, 0.0000, 0.3744)  4 Ir 2.71-2.72, 8 Rh 2.72
Rh (0.5000, 0.0000, 0.6256)  4 Ir 2.71-2.72, 8 Rh 2.72
Rh (0.5000, 0.0000, 0.8754)  2 Mn 2.71, 8 Rh 2.71-2.72, 2 Ir 2.72
Rh (0.5000, 0.5000, 0.0000)  8 Rh 2.71, 4 Mn 2.72
Rh (0.5000, 0.5000, 0.2493)  8 Rh 2.71-2.72, 4 Ir 2.72
Rh (0.5000, 0.5000, 0.5000)  4 Ir 2.72, 8 Rh 2.72
Rh (0.5000, 0.5000, 0.7507)  8 Rh 2.71-2.72, 4 Ir 2.72

## Properties
D(E_F): 17.6 states/eV per cell
Symmetry: P4/mmm
V: 14.17 Å³/atom
E_form: -34 meV per atom